Record 1
A plane-wave DFT calculation with PBE-GGA was carried out for crystalline Ac2CuPbS5 at its relaxed geometry.

Lattice parameters (Å, degrees): 8.8663 8.8663 12.4461 90.00 90.00 152.92
Fractional positions:
1 Ac 0.1195 0.8805 0.5000
2 Ac 0.1287 0.8713 0.1260
3 Ac 0.8713 0.1287 0.6260
4 Ac 0.8805 0.1195 0.0000
5 Cu 0.4917 0.5083 0.7697
6 Cu 0.5083 0.4917 0.2697
7 Pb 0.1829 0.8171 0.8145
8 Pb 0.8171 0.1829 0.3145
9 S 0.0164 0.9836 0.8334
10 S 0.2990 0.7010 0.4793
11 S 0.3057 0.6943 0.1478
12 S 0.3517 0.6483 0.8145
13 S 0.4970 0.5030 0.5822
14 S 0.5030 0.4970 0.0822
15 S 0.6483 0.3517 0.3145
16 S 0.6943 0.3057 0.6478
17 S 0.7010 0.2990 0.9793
18 S 0.9836 0.0164 0.3334

Computed properties:
Its formation energy from raw total energies is -12.0 eV per formula unit. The value obtained for the energy is -5.409 eV/atom. The density is 6.60 g/cm³.

***

Record 2
A plane-wave DFT calculation with PBE-GGA was carried out for crystalline AcCuPb2Se4 at its relaxed geometry.

Lattice parameters (Å, degrees): 7.2736 7.2736 15.1288 90.00 90.00 145.81
Fractional positions:
1 Ac 0.1096 0.8904 0.7500
2 Ac 0.8904 0.1096 0.2500
3 Cu 0.1574 0.8426 0.2500
4 Cu 0.8426 0.1574 0.7500
5 Pb 0.3658 0.6342 0.5571
6 Pb 0.3658 0.6342 0.9429
7 Pb 0.6342 0.3658 0.0571
8 Pb 0.6342 0.3658 0.4429
9 Se 0.0000 0.0000 0.0000
10 Se 0.0000 0.0000 0.5000
11 Se 0.2836 0.7164 0.1306
12 Se 0.2836 0.7164 0.3694
13 Se 0.4414 0.5586 0.7500
14 Se 0.5586 0.4414 0.2500
15 Se 0.7164 0.2836 0.6306
16 Se 0.7164 0.2836 0.8694

Computed properties:
Its formation energy from raw total energies is -7.2 eV per formula unit. The value obtained for the energy is -4.591 eV/atom. The density is 7.54 g/cm³.

***

Record 3
A plane-wave DFT calculation with PBE-GGA was carried out for crystalline AcSmCuPb at its relaxed geometry.

Lattice parameters (Å, degrees): 7.7892 7.7892 7.7892 90.00 90.00 90.00
Fractional positions:
1 Ac 0.0000 0.0000 0.0000
2 Ac 0.0000 0.5000 0.5000
3 Ac 0.5000 0.0000 0.5000
4 Ac 0.5000 0.5000 0.0000
5 Sm 0.0000 0.0000 0.5000
6 Sm 0.0000 0.5000 0.0000
7 Sm 0.5000 0.0000 0.0000
8 Sm 0.5000 0.5000 0.5000
9 Cu 0.2500 0.2500 0.7500
10 Cu 0.2500 0.7500 0.2500
11 Cu 0.7500 0.2500 0.2500
12 Cu 0.7500 0.7500 0.7500
13 Pb 0.2500 0.2500 0.2500
14 Pb 0.2500 0.7500 0.7500
15 Pb 0.7500 0.2500 0.7500
16 Pb 0.7500 0.7500 0.2500

Computed properties:
The formation enthalpy at 0 K is -245 meV/atom. The value obtained for the energy is -4.403 eV/atom. The density is 9.11 g/cm³.

***

Record 4
A plane-wave DFT calculation with PBE-GGA was carried out for crystalline Ac2Cu3Sn4Pb at its relaxed geometry.

Lattice parameters (Å, degrees): 4.7540 4.7540 11.2400 90.00 90.00 90.00
Fractional positions:
1 Ac 0.0000 0.5000 0.2375
2 Ac 0.5000 0.0000 0.7625
3 Cu 0.0000 0.5000 0.8844
4 Cu 0.5000 0.0000 0.1156
5 Cu 0.5000 0.5000 0.5000
6 Sn 0.0000 0.0000 0.0000
7 Sn 0.0000 0.5000 0.6552
8 Sn 0.5000 0.0000 0.3448
9 Sn 0.5000 0.5000 0.0000
10 Pb 0.0000 0.0000 0.5000

Computed properties:
The formation enthalpy at 0 K is -309 meV/atom. The value obtained for the energy is -4.332 eV/atom. The density is 8.67 g/cm³.

***

Record 5
A plane-wave DFT calculation with PBE-GGA was carried out for crystalline Ac2Cu4Sn3Pb at its relaxed geometry.

Lattice parameters (Å, degrees): 4.6304 4.6304 10.8993 90.00 90.00 90.00
Fractional positions:
1 Ac 0.0000 0.5000 0.2343
2 Ac 0.5000 0.0000 0.7657
3 Cu 0.0000 0.0000 0.0000
4 Cu 0.0000 0.5000 0.6398
5 Cu 0.5000 0.0000 0.3602
6 Cu 0.5000 0.5000 0.0000
7 Sn 0.0000 0.5000 0.8780
8 Sn 0.5000 0.0000 0.1220
9 Sn 0.5000 0.5000 0.5000
10 Pb 0.0000 0.0000 0.5000

Computed properties:
The formation enthalpy at 0 K is -399 meV/atom. The value obtained for the energy is -4.431 eV/atom. The density is 9.04 g/cm³.

***

Record 6
A plane-wave DFT calculation with PBE-GGA was carried out for crystalline Ac3CuSn3Pb2 at its relaxed geometry.

Lattice parameters (Å, degrees): 8.3256 8.3256 4.6590 90.00 90.00 120.00
Fractional positions:
1 Ac 0.0000 0.3740 0.0000
2 Ac 0.3740 0.0000 0.0000
3 Ac 0.6260 0.6260 0.0000
4 Cu 0.0000 0.0000 0.0000
5 Sn 0.0000 0.7704 0.5000
6 Sn 0.2296 0.2296 0.5000
7 Sn 0.7704 0.0000 0.5000
8 Pb 0.3333 0.6667 0.5000
9 Pb 0.6667 0.3333 0.5000

Computed properties:
The formation enthalpy at 0 K is -473 meV/atom. The value obtained for the energy is -4.456 eV/atom. The density is 9.00 g/cm³.

***

Record 7
A plane-wave DFT calculation with PBE-GGA was carried out for crystalline AcCuSnPb at its relaxed geometry.

Lattice parameters (Å, degrees): 7.7049 7.7049 7.7049 90.00 90.00 90.00
Fractional positions:
1 Ac 0.0000 0.0000 0.0000
2 Ac 0.0000 0.5000 0.5000
3 Ac 0.5000 0.0000 0.5000
4 Ac 0.5000 0.5000 0.0000
5 Cu 0.2500 0.2500 0.2500
6 Cu 0.2500 0.7500 0.7500
7 Cu 0.7500 0.2500 0.7500
8 Cu 0.7500 0.7500 0.2500
9 Sn 0.2500 0.2500 0.7500
10 Sn 0.2500 0.7500 0.2500
11 Sn 0.7500 0.2500 0.2500
12 Sn 0.7500 0.7500 0.7500
13 Pb 0.0000 0.0000 0.5000
14 Pb 0.0000 0.5000 0.0000
15 Pb 0.5000 0.0000 0.0000
16 Pb 0.5000 0.5000 0.5000

Computed properties:
The formation enthalpy at 0 K is -118 meV/atom. The value obtained for the energy is -4.097 eV/atom. The density is 8.95 g/cm³.

***

Record 8
A plane-wave DFT calculation with PBE-GGA was carried out for crystalline AcTlCuPb at its relaxed geometry.

Lattice parameters (Å, degrees): 7.6705 7.6705 7.6705 90.00 90.00 90.00
Fractional positions:
1 Ac 0.0000 0.0000 0.0000
2 Ac 0.0000 0.5000 0.5000
3 Ac 0.5000 0.0000 0.5000
4 Ac 0.5000 0.5000 0.0000
5 Tl 0.2500 0.2500 0.7500
6 Tl 0.2500 0.7500 0.2500
7 Tl 0.7500 0.2500 0.2500
8 Tl 0.7500 0.7500 0.7500
9 Cu 0.2500 0.2500 0.2500
10 Cu 0.2500 0.7500 0.7500
11 Cu 0.7500 0.2500 0.7500
12 Cu 0.7500 0.7500 0.2500
13 Pb 0.0000 0.0000 0.5000
14 Pb 0.0000 0.5000 0.0000
15 Pb 0.5000 0.0000 0.0000
16 Pb 0.5000 0.5000 0.5000

Computed properties:
The formation enthalpy at 0 K is -88 meV/atom. The value obtained for the energy is -3.658 eV/atom. The density is 10.33 g/cm³.

***

Record 9
A plane-wave DFT calculation with PBE-GGA was carried out for crystalline AcTmCuPb at its relaxed geometry.

Lattice parameters (Å, degrees): 7.6878 7.6878 7.6878 90.00 90.00 90.00
Fractional positions:
1 Ac 0.0000 0.0000 0.0000
2 Ac 0.0000 0.5000 0.5000
3 Ac 0.5000 0.0000 0.5000
4 Ac 0.5000 0.5000 0.0000
5 Tm 0.0000 0.0000 0.5000
6 Tm 0.0000 0.5000 0.0000
7 Tm 0.5000 0.0000 0.0000
8 Tm 0.5000 0.5000 0.5000
9 Cu 0.2500 0.2500 0.7500
10 Cu 0.2500 0.7500 0.2500
11 Cu 0.7500 0.2500 0.2500
12 Cu 0.7500 0.7500 0.7500
13 Pb 0.2500 0.2500 0.2500
14 Pb 0.2500 0.7500 0.7500
15 Pb 0.7500 0.2500 0.7500
16 Pb 0.7500 0.7500 0.2500

Computed properties:
The formation enthalpy at 0 K is -205 meV/atom. The value obtained for the energy is -4.302 eV/atom. The density is 9.75 g/cm³.

***

Record 10
A plane-wave DFT calculation with PBE-GGA was carried out for crystalline AcYCuPb at its relaxed geometry.

Lattice parameters (Å, degrees): 7.7350 7.7350 7.7350 90.00 90.00 90.00
Fractional positions:
1 Ac 0.0000 0.0000 0.0000
2 Ac 0.0000 0.5000 0.5000
3 Ac 0.5000 0.0000 0.5000
4 Ac 0.5000 0.5000 0.0000
5 Y 0.0000 0.0000 0.5000
6 Y 0.0000 0.5000 0.0000
7 Y 0.5000 0.0000 0.0000
8 Y 0.5000 0.5000 0.5000
9 Cu 0.2500 0.2500 0.7500
10 Cu 0.2500 0.7500 0.2500
11 Cu 0.7500 0.2500 0.2500
12 Cu 0.7500 0.7500 0.7500
13 Pb 0.2500 0.2500 0.2500
14 Pb 0.2500 0.7500 0.7500
15 Pb 0.7500 0.2500 0.7500
16 Pb 0.7500 0.7500 0.2500

Computed properties:
The formation enthalpy at 0 K is -241 meV/atom. The value obtained for the energy is -4.835 eV/atom. The density is 8.42 g/cm³.

***

Record 11
A plane-wave DFT calculation with PBE-GGA was carried out for crystalline AcZnCuPb at its relaxed geometry.

Lattice parameters (Å, degrees): 7.3318 7.3318 7.3318 90.00 90.00 90.00
Fractional positions:
1 Ac 0.0000 0.0000 0.0000
2 Ac 0.0000 0.5000 0.5000
3 Ac 0.5000 0.0000 0.5000
4 Ac 0.5000 0.5000 0.0000
5 Zn 0.2500 0.2500 0.7500
6 Zn 0.2500 0.7500 0.2500
7 Zn 0.7500 0.2500 0.2500
8 Zn 0.7500 0.7500 0.7500
9 Cu 0.2500 0.2500 0.2500
10 Cu 0.2500 0.7500 0.7500
11 Cu 0.7500 0.2500 0.7500
12 Cu 0.7500 0.7500 0.2500
13 Pb 0.0000 0.0000 0.5000
14 Pb 0.0000 0.5000 0.0000
15 Pb 0.5000 0.0000 0.0000
16 Pb 0.5000 0.5000 0.5000

Computed properties:
The formation enthalpy at 0 K is -173 meV/atom. The value obtained for the energy is -3.470 eV/atom. The density is 9.49 g/cm³.

***

Record 12
A plane-wave DFT calculation with PBE-GGA was carried out for crystalline Ac4CuPd3 at its relaxed geometry.

Lattice parameters (Å, degrees): 4.1422 4.7778 11.5486 90.00 90.00 90.00
Fractional positions:
1 Ac 0.0000 0.0000 0.0000
2 Ac 0.0000 0.5000 0.2685
3 Ac 0.5000 0.0000 0.4976
4 Ac 0.5000 0.5000 0.7693
5 Cu 0.0000 0.0000 0.7094
6 Pd 0.0000 0.5000 0.5566
7 Pd 0.5000 0.0000 0.2215
8 Pd 0.5000 0.5000 0.0471

Computed properties:
The formation enthalpy at 0 K is -641 meV/atom. The value obtained for the energy is -5.154 eV/atom. The density is 9.38 g/cm³.

***

Record 13
A plane-wave DFT calculation with PBE-GGA was carried out for crystalline Ac2Cu2Pd3 at its relaxed geometry.

Lattice parameters (Å, degrees): 4.0404 19.6490 3.8936 90.00 90.00 90.00
Fractional positions:
1 Ac 0.0000 0.1428 0.0000
2 Ac 0.0000 0.8572 0.0000
3 Ac 0.5000 0.3572 0.0000
4 Ac 0.5000 0.6428 0.0000
5 Cu 0.0000 0.2866 0.5000
6 Cu 0.0000 0.7134 0.5000
7 Cu 0.5000 0.2134 0.5000
8 Cu 0.5000 0.7866 0.5000
9 Pd 0.0000 0.0000 0.0000
10 Pd 0.0000 0.4289 0.5000
11 Pd 0.0000 0.5711 0.5000
12 Pd 0.5000 0.0711 0.5000
13 Pd 0.5000 0.5000 0.0000
14 Pd 0.5000 0.9289 0.5000

Computed properties:
The formation enthalpy at 0 K is -328 meV/atom. The value obtained for the energy is -4.898 eV/atom. The density is 9.67 g/cm³.

***

Record 14
A plane-wave DFT calculation with PBE-GGA was carried out for crystalline Ac2Cu9Pd at its relaxed geometry.

Lattice parameters (Å, degrees): 8.8702 8.8702 8.8702 34.73 34.73 34.73
Fractional positions:
1 Ac 0.1288 0.1288 0.1288
2 Ac 0.8712 0.8712 0.8712
3 Cu 0.0767 0.5758 0.5758
4 Cu 0.3327 0.3327 0.3327
5 Cu 0.4242 0.4242 0.9233
6 Cu 0.4242 0.9233 0.4242
7 Cu 0.5000 0.5000 0.5000
8 Cu 0.5758 0.0767 0.5758
9 Cu 0.5758 0.5758 0.0767
10 Cu 0.6673 0.6673 0.6673
11 Cu 0.9233 0.4242 0.4242
12 Pd 0.0000 0.0000 0.0000

Computed properties:
The formation enthalpy at 0 K is 12 meV/atom. The value obtained for the energy is -4.178 eV/atom. The density is 9.30 g/cm³.

***

Record 15
A plane-wave DFT calculation with PBE-GGA was carried out for crystalline Ac2CuPd at its relaxed geometry.

Lattice parameters (Å, degrees): 3.8142 3.8142 7.5873 90.00 90.00 90.00
Fractional positions:
1 Ac 0.0000 0.0000 0.2489
2 Ac 0.0000 0.0000 0.7511
3 Cu 0.5000 0.5000 0.5000
4 Pd 0.5000 0.5000 0.0000

Computed properties:
The formation enthalpy at 0 K is -396 meV/atom. The value obtained for the energy is -4.772 eV/atom. The density is 9.39 g/cm³.

***

Record 16
A plane-wave DFT calculation with PBE-GGA was carried out for crystalline Ac3Cu4Pd2 at its relaxed geometry.

Lattice parameters (Å, degrees): 6.0720 6.0720 8.7868 104.29 104.29 42.46
Fractional positions:
1 Ac 0.0000 0.0000 0.0000
2 Ac 0.3309 0.3309 0.3356
3 Ac 0.6691 0.6691 0.6644
4 Cu 0.0496 0.0496 0.3914
5 Cu 0.2743 0.2743 0.9490
6 Cu 0.7257 0.7257 0.0510
7 Cu 0.9504 0.9504 0.6086
8 Pd 0.3884 0.3884 0.7262
9 Pd 0.6116 0.6116 0.2738

Computed properties:
The formation enthalpy at 0 K is -448 meV/atom. The value obtained for the energy is -4.792 eV/atom. The density is 9.04 g/cm³.

***

Record 17
A plane-wave DFT calculation with PBE-GGA was carried out for crystalline Ac4CuPd at its relaxed geometry.

Lattice parameters (Å, degrees): 8.5301 8.5301 8.5301 106.37 106.37 115.87
Fractional positions:
1 Ac 0.2022 0.5031 0.6991
2 Ac 0.2531 0.0539 0.8009
3 Ac 0.2531 0.4522 0.1991
4 Ac 0.3002 0.0000 0.3002
5 Ac 0.6998 0.0000 0.6998
6 Ac 0.7500 0.5502 0.8002
7 Ac 0.7500 0.9498 0.1998
8 Ac 0.8039 0.5031 0.3009
9 Cu 0.9999 0.9999 0.0000
10 Cu 0.7499 0.2499 0.5000
11 Pd 0.2520 0.7520 0.5000
12 Pd 0.5020 0.5020 0.0000

Computed properties:
The formation enthalpy at 0 K is -174 meV/atom. The value obtained for the energy is -4.461 eV/atom. The density is 7.56 g/cm³.

***

Record 18
A plane-wave DFT calculation with PBE-GGA was carried out for crystalline Ac2Cu2Pd at its relaxed geometry.

Lattice parameters (Å, degrees): 6.0199 6.0199 11.8430 115.06 115.06 42.20
Fractional positions:
1 Ac 0.0877 0.0877 0.3865
2 Ac 0.3031 0.3031 0.8627
3 Ac 0.6969 0.6969 0.1373
4 Ac 0.9123 0.9123 0.6135
5 Cu 0.0392 0.0392 0.9188
6 Cu 0.3811 0.3811 0.3920
7 Cu 0.6189 0.6189 0.6080
8 Cu 0.9608 0.9608 0.0812
9 Pd 0.4215 0.4215 0.1846
10 Pd 0.5785 0.5785 0.8154

Computed properties:
The formation enthalpy at 0 K is -410 meV/atom. The value obtained for the energy is -4.731 eV/atom. The density is 8.89 g/cm³.

***

Record 19
A plane-wave DFT calculation with PBE-GGA was carried out for crystalline AcCuPd2 at its relaxed geometry.

Lattice parameters (Å, degrees): 4.4397 4.4397 15.1513 90.00 90.00 120.00
Fractional positions:
1 Ac 0.0000 0.0000 0.0000
2 Ac 0.3333 0.6667 0.6667
3 Ac 0.6667 0.3333 0.3333
4 Cu 0.0000 0.0000 0.5000
5 Cu 0.3333 0.6667 0.1667
6 Cu 0.6667 0.3333 0.8333
7 Pd 0.0000 0.0000 0.2065
8 Pd 0.0000 0.0000 0.7935
9 Pd 0.3333 0.6667 0.4602
10 Pd 0.3333 0.6667 0.8732
11 Pd 0.6667 0.3333 0.1268
12 Pd 0.6667 0.3333 0.5398

Computed properties:
The formation enthalpy at 0 K is -585 meV/atom. The value obtained for the energy is -5.233 eV/atom. The density is 9.70 g/cm³.

***

Record 20
A plane-wave DFT calculation with PBE-GGA was carried out for crystalline Ac2CuPd at its relaxed geometry.

Lattice parameters (Å, degrees): 4.3676 4.3676 22.6317 90.00 90.00 120.00
Fractional positions:
1 Ac 0.0000 0.0000 0.0000
2 Ac 0.0000 0.0000 0.1767
3 Ac 0.3333 0.6667 0.6667
4 Ac 0.3333 0.6667 0.8434
5 Ac 0.6667 0.3333 0.3333
6 Ac 0.6667 0.3333 0.5101
7 Cu 0.0000 0.0000 0.7541
8 Cu 0.3333 0.6667 0.4207
9 Cu 0.6667 0.3333 0.0874
10 Pd 0.0000 0.0000 0.5892
11 Pd 0.3333 0.6667 0.2559
12 Pd 0.6667 0.3333 0.9225

Computed properties:
The formation enthalpy at 0 K is -374 meV/atom. The value obtained for the energy is -4.750 eV/atom. The density is 8.31 g/cm³.